# YTaTc PBE relaxed
data_YTaTc
_symmetry_space_group_name_H-M 'I 4 m m'
_symmetry_Int_Tables_number 107
_symmetry_space_group_name_Hall 'I 4 -2'
_cell_length_a 3.3136
_cell_length_b 3.3136
_cell_length_c 11.0347
_cell_angle_alpha 90.00
_cell_angle_beta 90.00
_cell_angle_gamma 90.00
loop_
_atom_site_label
_atom_site_fract_x
_atom_site_fract_y
_atom_site_fract_z
Y1 0.0000 0.0000 0.0000
Ta1 0.0000 0.0000 0.2974
Tc1 0.0000 0.0000 0.6808
# Crystal system: tetragonal
# Raw total energy: -9.599 eV/atom
# Calculated formation energy: -0.04 eV/atom
# Energy above the lowest structure with this stoichiometry: 0 meV/atom